Record 1
Density functional theory data (PBE-GGA) for a relaxed structure of CsTl4Hg4.

Results
**Energy of formation from the pure elements**: -0.07 eV per atom
**Crystal system**: tetragonal
**Fermi-level density of states**: 3.91 states/eV/f.u.
**Energy**: -0.099 Ry per atom
**Relative energy among the computed polymorphs**: 10 meV/atom

POSCAR file:
```
CsTl4Hg4
1.0
-5.955 5.955 2.060
5.955 -5.955 2.060
5.955 5.955 -2.060
Cs Tl Hg
1 4 4
Direct
0.000 0.000 0.000 Cs
0.000 0.333 0.333 Tl
0.000 0.667 0.667 Tl
0.333 0.000 0.333 Tl
0.667 0.000 0.667 Tl
0.317 0.317 0.634 Hg
0.317 0.683 0.000 Hg
0.683 0.317 0.000 Hg
0.683 0.683 0.366 Hg
```

***

Record 2
Density functional theory data (PBE-GGA) for a relaxed structure of DyEr3Ni2.

Results
**Energy of formation from the pure elements**: -0.31 eV per atom
**Crystal system**: monoclinic
**Fermi-level density of states**: 6.33 states/eV/f.u.
**Energy**: -0.388 Ry per atom

POSCAR file:
```
DyEr3Ni2
1.0
7.960 -1.930 0.000
7.960 1.930 0.000
-6.186 0.000 9.412
Dy Er Ni
2 6 4
Direct
0.154 0.154 0.245 Dy
0.846 0.846 0.755 Dy
0.154 0.154 0.746 Er
0.417 0.417 0.060 Er
0.418 0.418 0.559 Er
0.582 0.582 0.441 Er
0.583 0.583 0.940 Er
0.846 0.846 0.254 Er
0.231 0.231 0.051 Ni
0.231 0.231 0.551 Ni
0.769 0.769 0.449 Ni
0.769 0.769 0.949 Ni
```

***

Q: Among the records above, which one has the lowest energy?
A: DyEr3Ni2